[1]
# Pa2SnPN6 | the Alexandria database | GGA-PBE | optimized geometry
# SG	P4mm
# N(E_F)	3.9	states/eV per cell
# formation energy from raw total energies	-0.5442	eV per atom
data_Pa2SnPN6
_chemical_formula_sum 'Pa2 Sn1 P1 N6'
_symmetry_space_group_name_H-M 'P 1'
_symmetry_Int_Tables_number 1
_cell_length_a 4.8035
_cell_length_b 5.1962
_cell_length_c 5.1962
_cell_angle_alpha 90.00
_cell_angle_beta 90.00
_cell_angle_gamma 90.00
loop_
_symmetry_equiv_pos_as_xyz
'x,y,z'
loop_
_atom_site_label
_atom_site_fract_x
_atom_site_fract_y
_atom_site_fract_z
N1 0.7202 0.7728 0.7728
N2 0.7202 0.7728 0.2272
N3 0.7202 0.2272 0.7728
P1 0.5906 0.0000 0.0000
N4 0.1372 0.5000 0.5000
Sn1 0.5637 0.5000 0.5000
Pa1 0.0158 0.0000 0.5000
N5 0.7202 0.2272 0.2272
N6 0.2431 0.0000 0.0000
Pa2 0.0158 0.5000 0.0000

=====

[2]
# KNdIrO6 | the Alexandria database | GGA-PBE | optimized geometry
# SG	P312
# N(E_F)	5.3	states/eV per cell
# formation energy from raw total energies	-1.4093	eV per atom
data_KNdIrO6
_chemical_formula_sum 'K1 Nd1 Ir1 O6'
_symmetry_space_group_name_H-M 'P 1'
_symmetry_Int_Tables_number 1
_cell_length_a 5.7809
_cell_length_b 5.7808
_cell_length_c 5.6958
_cell_angle_alpha 90.00
_cell_angle_beta 90.00
_cell_angle_gamma 60.00
loop_
_symmetry_equiv_pos_as_xyz
'x,y,z'
loop_
_atom_site_label
_atom_site_fract_x
_atom_site_fract_y
_atom_site_fract_z
Nd1 0.6666 0.6667 0.5000
Ir1 0.3333 0.3333 0.5000
O1 0.5947 0.0566 0.3093
K1 0.0000 0.0000 0.0000
O2 0.3487 0.0566 0.6908
O3 0.0566 0.3487 0.3092
O4 0.5946 0.3488 0.6908
O5 0.3487 0.5947 0.3092
O6 0.0566 0.5947 0.6907

=====

[3]
# Sm2I2Cl | the Alexandria database | GGA-PBE | optimized geometry
# SG	C2/m
# N(E_F)	8.0	states/eV per cell
# formation energy from raw total energies	-1.2889	eV per atom
data_Sm2I2Cl
_chemical_formula_sum 'Sm4 I4 Cl2'
_symmetry_space_group_name_H-M 'P 1'
_symmetry_Int_Tables_number 1
_cell_length_a 4.2394
_cell_length_b 7.8111
_cell_length_c 11.7010
_cell_angle_alpha 94.05
_cell_angle_beta 100.44
_cell_angle_gamma 90.00
loop_
_symmetry_equiv_pos_as_xyz
'x,y,z'
loop_
_atom_site_label
_atom_site_fract_x
_atom_site_fract_y
_atom_site_fract_z
Cl1 0.7943 0.4311 0.5887
Sm1 0.6738 0.3424 0.3476
I1 0.9160 0.8100 0.8320
I2 0.4041 0.2752 0.8083
Cl2 0.2057 0.5689 0.4113
I3 0.0840 0.1900 0.1680
Sm2 0.1861 0.9177 0.3721
Sm3 0.8139 0.0823 0.6279
I4 0.5959 0.7248 0.1917
Sm4 0.3262 0.6576 0.6524

=====

[4]
# Si2BMo | the Alexandria database | GGA-PBE | optimized geometry
# SG	I-42d
# N(E_F)	5.1	states/eV per cell
# formation energy from raw total energies	0.3172	eV per atom
data_Si2BMo
_chemical_formula_sum 'Si4 B2 Mo2'
_symmetry_space_group_name_H-M 'P 1'
_symmetry_Int_Tables_number 1
_cell_length_a 6.3216
_cell_length_b 6.3216
_cell_length_c 5.1251
_cell_angle_alpha 51.92
_cell_angle_beta 51.92
_cell_angle_gamma 90.00
loop_
_symmetry_equiv_pos_as_xyz
'x,y,z'
loop_
_atom_site_label
_atom_site_fract_x
_atom_site_fract_y
_atom_site_fract_z
B1 0.5000 0.5000 0.0000
Si1 0.3750 0.4510 0.7500
Si2 0.8750 0.7990 0.7500
Si3 0.5490 0.1250 0.2500
B2 0.2500 0.7500 0.5000
Mo1 0.0000 0.0000 0.0000
Si4 0.2010 0.6250 0.2500
Mo2 0.7500 0.2500 0.5000

=====

[5]
# LiYPa2Se4 | the Alexandria database | GGA-PBE | optimized geometry
# SG	P2/m
# N(E_F)	9.1	states/eV per cell
# formation energy from raw total energies	-1.3880	eV per atom
data_LiYPa2Se4
_chemical_formula_sum 'Li1 Y1 Pa2 Se4'
_symmetry_space_group_name_H-M 'P 1'
_symmetry_Int_Tables_number 1
_cell_length_a 3.8934
_cell_length_b 6.7140
_cell_length_c 7.4651
_cell_angle_alpha 107.45
_cell_angle_beta 90.00
_cell_angle_gamma 90.00
loop_
_symmetry_equiv_pos_as_xyz
'x,y,z'
loop_
_atom_site_label
_atom_site_fract_x
_atom_site_fract_y
_atom_site_fract_z
Se1 0.5000 0.2561 0.2364
Se2 0.0000 0.2635 0.7667
Li1 0.5000 0.5000 0.0000
Y1 0.0000 0.0000 0.0000
Se3 0.0000 0.7365 0.2333
Se4 0.5000 0.7439 0.7636
Pa1 0.5000 0.0000 0.5000
Pa2 0.0000 0.5000 0.5000

=====

[6]
# In2TcSb | the Alexandria database | GGA-PBE | optimized geometry
# SG	R-3m
# N(E_F)	4.1	states/eV per cell
# formation energy from raw total energies	0.3883	eV per atom
data_In2TcSb
_chemical_formula_sum 'In2 Tc1 Sb1'
_symmetry_space_group_name_H-M 'P 1'
_symmetry_Int_Tables_number 1
_cell_length_a 9.7352
_cell_length_b 9.7352
_cell_length_c 9.7352
_cell_angle_alpha 19.35
_cell_angle_beta 19.35
_cell_angle_gamma 19.35
loop_
_symmetry_equiv_pos_as_xyz
'x,y,z'
loop_
_atom_site_label
_atom_site_fract_x
_atom_site_fract_y
_atom_site_fract_z
In1 0.4889 0.4889 0.4889
Sb1 0.2500 0.2500 0.2500
Tc1 0.7500 0.7500 0.7500
In2 0.0111 0.0111 0.0111

=====

[7]
# CeYOs | the Alexandria database | GGA-PBE | optimized geometry
# SG	F-43m
# ΔE to the lowest computed polymorph	4.41	kJ/mol of atoms
# N(E_F)	6.1	states/eV per cell
# E_form	-0.12	eV per atom
data_CeYOs
_chemical_formula_sum 'Ce1 Y1 Os1'
_symmetry_space_group_name_H-M 'P 1'
_symmetry_Int_Tables_number 1
_cell_length_a 4.8145
_cell_length_b 4.8145
_cell_length_c 4.8145
_cell_angle_alpha 60.00
_cell_angle_beta 60.00
_cell_angle_gamma 60.00
loop_
_symmetry_equiv_pos_as_xyz
'x,y,z'
loop_
_atom_site_label
_atom_site_fract_x
_atom_site_fract_y
_atom_site_fract_z
Ce1 0.5000 0.5000 0.5000
Os1 0.2500 0.2500 0.2500
Y1 0.0000 0.0000 0.0000

=====

[8]
# CoGe2AuC | the Alexandria database | GGA-PBE | optimized geometry
# SG	P4/mmm
# N(E_F)	7.5	states/eV per cell
# E_form	2.20	eV per atom
data_CoGe2AuC
_chemical_formula_sum 'Co1 Ge2 Au1 C1'
_symmetry_space_group_name_H-M 'P 1'
_symmetry_Int_Tables_number 1
_cell_length_a 4.8784
_cell_length_b 4.8133
_cell_length_c 4.8784
_cell_angle_alpha 90.00
_cell_angle_beta 90.00
_cell_angle_gamma 90.00
loop_
_symmetry_equiv_pos_as_xyz
'x,y,z'
loop_
_atom_site_label
_atom_site_fract_x
_atom_site_fract_y
_atom_site_fract_z
Ge1 0.5000 0.0000 0.0000
Ge2 0.0000 0.0000 0.5000
C1 0.5000 0.5000 0.5000
Co1 0.0000 0.5000 0.0000
Au1 0.0000 0.0000 0.0000

=====

Repeat the seventh record exactly.
# CeYOs | the Alexandria database | GGA-PBE | optimized geometry
# SG	F-43m
# ΔE to the lowest computed polymorph	4.41	kJ/mol of atoms
# N(E_F)	6.1	states/eV per cell
# E_form	-0.12	eV per atom
data_CeYOs
_chemical_formula_sum 'Ce1 Y1 Os1'
_symmetry_space_group_name_H-M 'P 1'
_symmetry_Int_Tables_number 1
_cell_length_a 4.8145
_cell_length_b 4.8145
_cell_length_c 4.8145
_cell_angle_alpha 60.00
_cell_angle_beta 60.00
_cell_angle_gamma 60.00
loop_
_symmetry_equiv_pos_as_xyz
'x,y,z'
loop_
_atom_site_label
_atom_site_fract_x
_atom_site_fract_y
_atom_site_fract_z
Ce1 0.5000 0.5000 0.5000
Os1 0.2500 0.2500 0.2500
Y1 0.0000 0.0000 0.0000

=====

Repeat the sixth record exactly.
# In2TcSb | the Alexandria database | GGA-PBE | optimized geometry
# SG	R-3m
# N(E_F)	4.1	states/eV per cell
# formation energy from raw total energies	0.3883	eV per atom
data_In2TcSb
_chemical_formula_sum 'In2 Tc1 Sb1'
_symmetry_space_group_name_H-M 'P 1'
_symmetry_Int_Tables_number 1
_cell_length_a 9.7352
_cell_length_b 9.7352
_cell_length_c 9.7352
_cell_angle_alpha 19.35
_cell_angle_beta 19.35
_cell_angle_gamma 19.35
loop_
_symmetry_equiv_pos_as_xyz
'x,y,z'
loop_
_atom_site_label
_atom_site_fract_x
_atom_site_fract_y
_atom_site_fract_z
In1 0.4889 0.4889 0.4889
Sb1 0.2500 0.2500 0.2500
Tc1 0.7500 0.7500 0.7500
In2 0.0111 0.0111 0.0111

=====

What did the fifth record say?
# LiYPa2Se4 | the Alexandria database | GGA-PBE | optimized geometry
# SG	P2/m
# N(E_F)	9.1	states/eV per cell
# formation energy from raw total energies	-1.3880	eV per atom
data_LiYPa2Se4
_chemical_formula_sum 'Li1 Y1 Pa2 Se4'
_symmetry_space_group_name_H-M 'P 1'
_symmetry_Int_Tables_number 1
_cell_length_a 3.8934
_cell_length_b 6.7140
_cell_length_c 7.4651
_cell_angle_alpha 107.45
_cell_angle_beta 90.00
_cell_angle_gamma 90.00
loop_
_symmetry_equiv_pos_as_xyz
'x,y,z'
loop_
_atom_site_label
_atom_site_fract_x
_atom_site_fract_y
_atom_site_fract_z
Se1 0.5000 0.2561 0.2364
Se2 0.0000 0.2635 0.7667
Li1 0.5000 0.5000 0.0000
Y1 0.0000 0.0000 0.0000
Se3 0.0000 0.7365 0.2333
Se4 0.5000 0.7439 0.7636
Pa1 0.5000 0.0000 0.5000
Pa2 0.0000 0.5000 0.5000